A.
The following is a PBE-GGA calculation of a relaxed structure of Fe3GeCl, from Alexandria via LeMat-Bulk.

Cell and atoms, written as extended XYZ:
```
5
Lattice="4.718 0.000 0.000 0.000 4.718 0.000 0.000 0.000 4.718" Properties=species:S:1:pos:R:3 pbc="T T T"
Ge 0.000 0.000 0.000
Fe 0.000 2.359 0.000
Fe 0.000 0.000 2.359
Fe 2.359 0.000 0.000
Cl 2.359 2.359 2.359
```

B.
The following is a PBE-GGA calculation of a relaxed structure of Fe3GeCl, from Alexandria via LeMat-Bulk.

Cell and atoms, written as extended XYZ:
```
5
Lattice="-1.793 -1.930 3.283 0.165 -3.665 -2.064 3.804 -0.750 1.637" Properties=species:S:1:pos:R:3 pbc="T T T"
Ge 1.088 -3.172 1.428
Fe 0.083 -1.832 -1.032
Fe 1.902 -0.375 0.819
Fe -0.897 -0.965 1.641
Cl 0.000 0.000 0.000
```

Stability, lowest: A

A.
The following is a PBE-GGA calculation of a relaxed structure of FeGeSCl2, from Alexandria via LeMat-Bulk.

Cell and atoms, written as extended XYZ:
```
5
Lattice="4.895 0.000 0.000 0.000 4.895 0.000 0.000 0.000 4.915" Properties=species:S:1:pos:R:3 pbc="T T T"
S 0.000 0.000 2.458
Ge 0.000 0.000 0.000
Fe 2.447 2.447 2.458
Cl 0.000 2.447 0.000
Cl 2.447 0.000 0.000
```

B.
The following is a PBE-GGA calculation of a relaxed structure of FeGeSCl2, from Alexandria via LeMat-Bulk.

Cell and atoms, written as extended XYZ:
```
5
Lattice="-0.051 -1.798 4.312 4.649 0.403 0.223 -0.462 4.327 1.799" Properties=species:S:1:pos:R:3 pbc="T T T"
S -0.231 2.164 0.899
Ge 2.068 1.466 3.167
Fe 0.000 0.000 0.000
Cl 2.324 0.202 0.111
Cl -0.025 -0.899 2.156
```

Stability, lowest: A

A.
The following is a PBE-GGA calculation of a relaxed structure of FeHCl3, from Alexandria via LeMat-Bulk.

Cell and atoms, written as extended XYZ:
```
5
Lattice="4.364 0.000 0.000 0.000 4.364 0.000 0.000 0.000 4.364" Properties=species:S:1:pos:R:3 pbc="T T T"
H 0.000 0.000 0.000
Fe 2.182 2.182 2.182
Cl 0.000 2.182 0.000
Cl 0.000 0.000 2.182
Cl 2.182 0.000 0.000
```

B.
The following is a PBE-GGA calculation of a relaxed structure of FeHCl3, from Alexandria via LeMat-Bulk.

Cell and atoms, written as extended XYZ:
```
5
Lattice="4.727 0.000 0.000 0.000 4.727 0.000 0.000 0.000 4.727" Properties=species:S:1:pos:R:3 pbc="T T T"
H 2.363 2.363 2.363
Fe 0.000 0.000 0.000
Cl 0.000 2.363 0.000
Cl 0.000 0.000 2.363
Cl 2.363 0.000 0.000
```

C.
The following is a PBE-GGA calculation of a relaxed structure of FeHCl3, from Alexandria via LeMat-Bulk.

Cell and atoms, written as extended XYZ:
```
10
Lattice="-0.635 -1.867 -2.726 8.372 -5.374 -0.330 -1.417 -8.848 4.332" Properties=species:S:1:pos:R:3 pbc="T T T"
Fe 1.728 -5.724 -0.637
Fe 4.591 -10.365 1.913
H -0.221 -9.245 2.248
H 6.540 -6.844 -0.972
Cl 0.711 -4.063 -1.536
Cl 5.608 -12.026 2.812
Cl 3.704 -4.788 0.338
Cl 5.340 -10.334 -0.360
Cl 2.615 -11.301 0.938
Cl 0.979 -5.755 1.636
```

Stability, lowest: A